NdAgH6Pd4 | PBE | relaxed

## Properties
E_tot = -51.3 eV/cell

Unit cell a=4.8083 b=4.8083 c=6.7419 alpha=90.00 beta=90.00 gamma=120.00
Space group P6/mmm (No. 191)
Asymmetric unit:
Nd  0.0000  0.0000  0.0000 (multiplicity 1)
Ag  0.0000  0.0000  0.5000 (multiplicity 1)
H  0.0000  0.5000  0.1457 (multiplicity 6)
Pd  0.3333  0.6667  0.2999 (multiplicity 4)



Nd2AgH12Rh3 | PBE | relaxed

## Properties
E_tot = -236.3 eV/cell

Unit cell a=6.2526 b=6.2526 c=14.7811 alpha=90.00 beta=90.00 gamma=120.00
Space group R-3m (No. 166, hexagonal axes)
Asymmetric unit:
Nd  0.0000  0.0000  0.1163 (multiplicity 6)
Ag  0.0000  0.0000  0.5000 (multiplicity 3)
H  0.0112  0.5056  0.8858 (multiplicity 18)
H  0.0235  0.5118  0.3344 (multiplicity 18)
Rh  0.0000  0.5000  0.0000 (multiplicity 9)



NdAgSbH | PBE | relaxed

## Properties
E_tot = -35.1 eV/cell

Unit cell a=4.329 b=4.329 c=8.361 alpha=90.00 beta=90.00 gamma=90.00
Space group P4/nmm (No. 129, origin choice 2)
Asymmetric unit:
Nd  0.250  0.250  0.142 (multiplicity 2)
Ag  0.250  0.750  0.500 (multiplicity 2)
Sb  0.250  0.250  0.725 (multiplicity 2)
H  0.250  0.750  0.000 (multiplicity 2)



Ni5Ag3H12 | PBE | relaxed

## Properties
E_tot = -594.0 eV/cell

Unit cell a=10.806 b=10.806 c=10.806 alpha=90.00 beta=90.00 gamma=90.00
Space group Ia-3d (No. 230)
Asymmetric unit:
Ni  0.000  0.000  0.000 (multiplicity 16)
Ni  0.000  0.250  0.375 (multiplicity 24)
Ag  0.000  0.250  0.125 (multiplicity 24)
H  0.029  0.041  0.643 (multiplicity 96)